Entry 1:
This record from Alexandria via LeMat-Bulk describes NiAgBr2 after structural relaxation. The functional is PBE.

Cell and atoms, written as POSCAR:
```
NiAgBr2
1.0
3.798 -3.745 0.000
3.798 3.745 0.000
-1.686 0.000 3.598
Ni Ag Br
1 1 2
Direct
0.000 0.000 0.000
0.500 0.500 0.000
0.000 0.500 0.000
0.500 0.000 0.000
```

- formation energy without anion corrections (eV per formula unit) = 0.62
- volume (Å³/cell) = 102
- total magnetic moment (μB per atom) = 0.251
- space group = No. 12
- E (eV per cell) = -11.357
- relative energy among the computed polymorphs (meV/atom) = 275

Entry 2:
This record from Alexandria via LeMat-Bulk describes InRhCl2 after structural relaxation. The functional is PBE.

Cell and atoms, written as POSCAR:
```
InRhCl2
1.0
1.635 0.944 9.420
-1.635 0.944 9.420
0.000 -1.887 9.420
In Rh Cl
1 1 2
Direct
0.000 0.000 0.000
0.500 0.500 0.500
0.420 0.420 0.420
0.580 0.580 0.580
```

- formation energy without anion corrections (eV per formula unit) = -0.22
- volume (Å³/cell) = 87
- total magnetic moment (μB per atom) = 0.269
- space group = No. 166
- E (eV per cell) = -13.999
- relative energy among the computed polymorphs (meV/atom) = 390

Entry 3:
This record from Alexandria via LeMat-Bulk describes K5Mg4 after structural relaxation. The functional is PBE.

Cell and atoms, written as POSCAR:
```
K5Mg4
1.0
11.229 0.000 0.000
-5.614 9.724 0.000
0.000 0.000 7.610
K Mg
10 8
Direct
0.000 0.289 0.250
0.000 0.711 0.750
0.289 0.000 0.250
0.289 0.289 0.750
0.333 0.667 0.000
0.333 0.667 0.500
0.667 0.333 0.000
0.667 0.333 0.500
0.711 0.000 0.750
0.711 0.711 0.250
0.000 0.000 0.000
0.000 0.000 0.500
0.000 0.370 0.750
0.000 0.630 0.250
0.370 0.000 0.750
0.370 0.370 0.250
0.630 0.000 0.250
0.630 0.630 0.750
```

- ΔE_f (meV/atom) = 258
- volume (Å³/cell) = 831
- total magnetic moment (μB per atom) = 0.000
- space group = No. 193
- E (eV per cell) = -19.089
- relative energy among the computed polymorphs (meV/atom) = 72

Entry 4:
This record from Alexandria via LeMat-Bulk describes LiAl2Cl6 after structural relaxation. The functional is PBE.

Cell and atoms, written as POSCAR:
```
LiAl2Cl6
1.0
3.297 1.904 7.371
-3.297 1.904 7.371
0.000 -3.807 7.371
Li Al Cl
1 2 6
Direct
0.000 0.000 0.000
0.605 0.605 0.605
0.728 0.728 0.728
0.043 0.788 0.411
0.249 0.625 0.881
0.411 0.043 0.788
0.625 0.881 0.249
0.788 0.411 0.043
0.881 0.249 0.625
```

- formation energy without anion corrections (eV per formula unit) = -12.38
- volume (Å³/cell) = 278
- total magnetic moment (μB per atom) = 0.111
- space group = No. 146
- E (eV per cell) = -32.858